No. 1
CeSm2YS4 after structural relaxation, computed with PBE-GGA.

total DFT energy (no corrections)	-6.8198	eV per atom
space-group type	P2/m, No. 10
formation energy without anion corrections	-195.5	kJ per mole of atoms

Unit cell a=6.904 b=3.975 c=6.935 alpha=90.00 beta=109.29 gamma=90.00
Sites, in units of the cell vectors:
Ce 0.000 0.000 0.000
Sm 0.500 0.000 0.500
Sm 0.500 0.500 0.000
Y 0.000 0.500 0.500
S 0.244 0.000 0.744
S 0.248 0.500 0.254
S 0.752 0.500 0.746
S 0.756 0.000 0.256



No. 2
LiAcTcO4 after structural relaxation, computed with PBE-GGA.

total DFT energy (no corrections)	-7.2751	eV per atom
space-group type	Imma, No. 74
formation energy without anion corrections	-202.7	kJ per mole of atoms

Unit cell a=6.938 b=6.938 c=6.938 alpha=124.92 beta=108.38 gamma=96.45
Sites, in units of the cell vectors:
Li 0.267 0.017 0.250
Li 0.733 0.983 0.750
Ac 0.000 0.500 0.500
Ac 0.500 0.500 0.000
Tc 0.000 0.000 0.500
Tc 0.000 0.500 0.000
O 0.152 0.239 0.913
O 0.175 0.761 0.413
O 0.222 0.247 0.524
O 0.222 0.698 0.976
O 0.778 0.302 0.024
O 0.778 0.753 0.476
O 0.825 0.239 0.587
O 0.848 0.761 0.087



Q: Among the records above, which one has the highest formation energy without anion corrections?
A: CeSm2YS4



Q: Which value of formation energy without anion corrections does entry 2 give?
A: -202.7 kJ per mole of atoms



Q: What is the formula in the first record?
A: CeSm2YS4



Q: Which of these has the lowest formation energy without anion corrections?
A: LiAcTcO4